[1]
VASP calculation (GGA-PBE) on crystalline Ac2MgZn4 at its relaxed geometry.

Output
Calculated volume ... 28.4 A^3/atom
E_form ... 0.040 eV/atom
Crystal system ... tetragonal
VASP energy ... -14.63 eV for the cell shown
Symmetry ... No. 139
Total moment ... 0.000 μB per cell

Cell lengths 4.911, 4.911, 8.941 Å; angles 105.94, 105.94, 90.00 degrees
Positions (direct):
Ac 0.638 0.638 0.275
Ac 0.362 0.362 0.725
Mg 0.000 0.000 0.000
Zn 0.000 0.500 0.000
Zn 0.500 0.000 0.000
Zn 0.833 0.833 0.666
Zn 0.167 0.167 0.334



[2]
VASP calculation (GGA-PBE) on crystalline AcMg3Zn2 at its relaxed geometry.

Output
Calculated volume ... 24.3 A^3/atom
E_form ... -0.184 eV/atom
Crystal system ... monoclinic
VASP energy ... -25.08 eV for the cell shown
Energy relative to the lowest polymorph listed for this composition ... 0.0061 eV per atom
Symmetry ... No. 12
Total moment ... 0.000 μB per cell

Cell lengths 4.536, 8.784, 8.415 Å; angles 114.75, 90.00, 104.96 degrees
Positions (direct):
Ac 0.849 0.699 0.934
Ac 0.151 0.301 0.066
Mg 0.316 0.632 0.554
Mg 0.957 0.914 0.629
Mg 0.596 0.192 0.690
Mg 0.404 0.808 0.310
Mg 0.043 0.086 0.371
Mg 0.684 0.368 0.446
Zn 0.479 0.959 0.840
Zn 0.521 0.041 0.160
Zn 0.805 0.610 0.300
Zn 0.195 0.390 0.700



[3]
VASP calculation (GGA-PBE) on crystalline Ac4Mg3Zn at its relaxed geometry.

Output
Calculated volume ... 33.6 A^3/atom
E_form ... -0.114 eV/atom
Crystal system ... tetragonal
VASP energy ... -23.40 eV for the cell shown
Symmetry ... No. 123
Total moment ... 0.000 μB per cell

Cell lengths 4.041, 4.041, 16.451 Å; angles 90.00, 90.00, 90.00 degrees
Positions (direct):
Zn 0.500 0.500 0.000
Ac 0.000 0.000 0.887
Ac 0.000 0.000 0.113
Ac 0.000 0.000 0.372
Ac 0.000 0.000 0.628
Mg 0.500 0.500 0.245
Mg 0.500 0.500 0.500
Mg 0.500 0.500 0.755



[4]
VASP calculation (GGA-PBE) on crystalline Ac3Mg3Zn2 at its relaxed geometry.

Output
Calculated volume ... 29.9 A^3/atom
E_form ... -0.116 eV/atom
Crystal system ... orthorhombic
VASP energy ... -82.32 eV for the cell shown
Symmetry ... No. 62
Total moment ... 0.000 μB per cell

Cell lengths 6.132, 9.098, 17.172 Å; angles 90.00, 90.00, 90.00 degrees
Positions (direct):
Ac 0.103 0.460 0.387
Ac 0.603 0.040 0.613
Ac 0.897 0.540 0.887
Ac 0.397 0.960 0.113
Ac 0.897 0.540 0.613
Ac 0.397 0.960 0.387
Ac 0.103 0.460 0.113
Ac 0.603 0.040 0.887
Ac 0.607 0.323 0.250
Ac 0.107 0.177 0.750
Ac 0.393 0.677 0.750
Ac 0.893 0.823 0.250
Mg 0.100 0.170 0.250
Mg 0.600 0.330 0.750
Mg 0.900 0.830 0.750
Mg 0.400 0.670 0.250
Mg 0.603 0.322 0.467
Mg 0.103 0.178 0.533
Mg 0.397 0.678 0.967
Mg 0.897 0.822 0.033
Mg 0.397 0.678 0.533
Mg 0.897 0.822 0.467
Mg 0.603 0.322 0.033
Mg 0.103 0.178 0.967
Zn 0.882 0.111 0.392
Zn 0.382 0.389 0.608
Zn 0.118 0.889 0.892
Zn 0.618 0.611 0.108
Zn 0.118 0.889 0.608
Zn 0.618 0.611 0.392
Zn 0.882 0.111 0.108
Zn 0.382 0.389 0.892



[5]
VASP calculation (GGA-PBE) on crystalline Ac2MgZn3 at its relaxed geometry.

Output
Calculated volume ... 27.1 A^3/atom
E_form ... -0.205 eV/atom
Crystal system ... orthorhombic
VASP energy ... -14.86 eV for the cell shown
Symmetry ... No. 44
Total moment ... 0.000 μB per cell

Cell lengths 3.932, 4.966, 8.904 Å; angles 106.19, 102.76, 90.00 degrees
Positions (direct):
Ac 0.137 0.137 0.274
Ac 0.865 0.365 0.730
Mg 0.462 0.962 0.925
Zn 0.700 0.700 0.400
Zn 0.541 0.541 0.082
Zn 0.295 0.795 0.589



[6]
VASP calculation (GGA-PBE) on crystalline AcMgZn2 at its relaxed geometry.

Output
Calculated volume ... 24.0 A^3/atom
E_form ... -0.133 eV/atom
Crystal system ... tetragonal
VASP energy ... -8.78 eV for the cell shown
Symmetry ... No. 123
Total moment ... 0.001 μB per cell

Cell lengths 3.642, 3.642, 7.246 Å; angles 90.00, 90.00, 90.00 degrees
Positions (direct):
Mg 0.500 0.500 0.000
Ac 0.500 0.500 0.500
Zn 0.000 0.000 0.804
Zn 0.000 0.000 0.196